# Pr6Dy5Sc2 | Alexandria via LeMat-Bulk | PBE | optimized geometry
# Energy   -4.80 eV/atom
data_Pr6Dy5Sc2
_space_group_name_H-M_alt 'P 1'
_space_group_IT_number 1
_cell_length_a 10.879
_cell_length_b 22.708
_cell_length_c 3.513
_cell_angle_alpha 90.00
_cell_angle_beta 90.00
_cell_angle_gamma 90.00
loop_
_space_group_symop_operation_xyz
'x,y,z'
loop_
_atom_site_label
_atom_site_type_symbol
_atom_site_fract_x
_atom_site_fract_y
_atom_site_fract_z
Pr1 Pr 0.030 0.113 0.000
Pr2 Pr 0.140 0.384 0.000
Pr3 Pr 0.166 0.639 0.500
Pr4 Pr 0.334 0.139 0.500
Pr5 Pr 0.360 0.884 0.000
Pr6 Pr 0.470 0.613 0.000
Pr7 Pr 0.530 0.387 0.000
Pr8 Pr 0.640 0.116 0.000
Pr9 Pr 0.666 0.861 0.500
Pr10 Pr 0.834 0.361 0.500
Pr11 Pr 0.860 0.616 0.000
Pr12 Pr 0.970 0.887 0.000
Dy1 Dy 0.000 0.500 0.500
Dy2 Dy 0.085 0.249 0.500
Dy3 Dy 0.165 0.993 0.500
Dy4 Dy 0.335 0.493 0.500
Dy5 Dy 0.415 0.749 0.500
Dy6 Dy 0.500 0.000 0.500
Dy7 Dy 0.585 0.251 0.500
Dy8 Dy 0.665 0.507 0.500
Dy9 Dy 0.835 0.007 0.500
Dy10 Dy 0.915 0.751 0.500
Sc1 Sc 0.165 0.773 0.000
Sc2 Sc 0.335 0.273 0.000
Sc3 Sc 0.665 0.727 0.000
Sc4 Sc 0.835 0.227 0.000